Entry 1:
The following is a SCAN calculation of a crystal of Ba3SrEr2Mo2O12 relaxed with PBEsol, from Alexandria via LeMat-Bulk.

Computed properties:
ρ: 7.130 Mg/m³
N(E_F): 6.07 states/eV/f.u.
Formation energy without anion corrections: -3.09 eV/atom
Symmetry: No. 1

Unit cell a=5.8614 b=5.8618 c=10.1200 alpha=73.14 beta=73.15 gamma=59.98
With the nearest neighbours (Å) after each atom.
Element x y z (fractional)
Sr1 0.6266 0.6253 0.1224  9 O 2.69-2.95
Mo1 0.7494 0.7495 0.7515  6 O 1.96
Mo2 0.2506 0.2505 0.2485  6 O 1.96
Ba1 0.3746 0.3746 0.8760  12 O 2.81-3.05
Ba2 0.8751 0.8752 0.3745  12 O 2.79-3.08
Ba3 0.1250 0.1248 0.6253  12 O 2.83-3.03
O1 0.8835 0.8469 0.8716  1 Mo 1.96
O2 0.3920 0.3460 0.3657  1 Mo 1.96
O3 0.6177 0.6467 0.6325  1 Mo 1.96
O4 0.0938 0.1728 0.1310  1 Mo 1.96, 1 Er 2.19
O5 0.6499 0.1025 0.6317  1 Mo 1.96
O6 0.1766 0.6015 0.1302  1 Mo 1.96, 1 Er 2.19
O7 0.8439 0.3987 0.8724  1 Mo 1.96
O8 0.3426 0.8976 0.3667  1 Mo 1.96
O9 0.1044 0.6143 0.6338  1 Mo 1.96
O10 0.6037 0.0900 0.1324  1 Mo 1.96
O11 0.3961 0.8871 0.8697  1 Mo 1.96
O12 0.8945 0.3959 0.3638  1 Mo 1.96
Er1 0.9994 0.9993 0.0018  6 O 2.19
Er2 0.5005 0.5006 0.4985  6 O 2.19-2.20

***

Entry 2:
The following is a SCAN calculation of a crystal of ZnCd2Rh relaxed with PBEsol, from Alexandria via LeMat-Bulk.

Computed properties:
ρ: 10.092 Mg/m³
N(E_F): 1.29 states/eV/f.u.
Symmetry: No. 119
Formation enthalpy at 0 K: -0.124 eV per atom

Unit cell a=3.9271 b=3.9271 c=5.0305 alpha=112.97 beta=112.97 gamma=90.00
With the nearest neighbours (Å) after each atom.
Element x y z (fractional)
Zn1 0.2500 0.7500 0.5000  8 Cd 2.78-2.87, 4 Rh 2.87
Rh1 0.5000 0.5000 0.0000  8 Cd 2.78-2.87, 4 Zn 2.87
Cd1 0.0000 0.0000 0.0000  4 Rh 2.78, 4 Cd 2.87, 4 Zn 2.87
Cd2 0.7500 0.2500 0.5000  4 Zn 2.78, 4 Cd 2.87, 4 Rh 2.87

***

Entry 3:
The following is a SCAN calculation of a crystal of Ca3PdSe relaxed with PBEsol, from Alexandria via LeMat-Bulk.

Computed properties:
ρ: 3.258 Mg/m³
N(E_F): 3.99 states/eV/f.u.
Formation energy without anion corrections: -0.66 eV/atom
Symmetry: No. 221

Unit cell a=5.3807 b=5.3807 c=5.3807 alpha=90.00 beta=90.00 gamma=90.00
With the nearest neighbours (Å) after each atom.
Element x y z (fractional)
Ca1 0.0000 0.5000 0.0000  2 Pd 2.69
Ca2 0.0000 0.0000 0.5000  2 Pd 2.69
Ca3 0.5000 0.0000 0.0000  2 Pd 2.69
Se1 0.5000 0.5000 0.5000  12 Ca 3.80
Pd1 0.0000 0.0000 0.0000  6 Ca 2.69

***

Entry 4:
The following is a SCAN calculation of a crystal of YRhOF2 relaxed with PBEsol, from Alexandria via LeMat-Bulk.

Computed properties:
ρ: 5.986 Mg/m³
N(E_F): 2.07 states/eV/f.u.
Formation energy without anion corrections: -1.62 eV/atom
Symmetry: No. 123

Unit cell a=3.9996 b=4.1289 c=4.1289 alpha=90.00 beta=90.00 gamma=90.00
With the nearest neighbours (Å) after each atom.
Element x y z (fractional)
Y1 0.5000 0.5000 0.5000  8 F 2.87, 4 O 2.92
Rh1 0.0000 0.0000 0.0000  2 O 2.00, 4 F 2.06
O1 0.5000 0.0000 0.0000  2 Rh 2.00
F1 0.0000 0.0000 0.5000  2 Rh 2.06
F2 0.0000 0.5000 0.0000  2 Rh 2.06

***

Entry 5:
The following is a SCAN calculation of a crystal of Ta3CdAg relaxed with PBEsol, from Alexandria via LeMat-Bulk.

Computed properties:
ρ: 10.787 Mg/m³
N(E_F): 3.88 states/eV/f.u.
Symmetry: No. 221
Formation enthalpy at 0 K: 2.392 eV per atom

Unit cell a=4.8975 b=4.8975 c=4.8975 alpha=90.00 beta=90.00 gamma=90.00
With the nearest neighbours (Å) after each atom.
Element x y z (fractional)
Cd1 0.0000 0.0000 0.0000  6 Ta 2.45
Ag1 0.5000 0.5000 0.5000  12 Ta 3.46
Ta1 0.0000 0.5000 0.0000  2 Cd 2.45
Ta2 0.0000 0.0000 0.5000  2 Cd 2.45
Ta3 0.5000 0.0000 0.0000  2 Cd 2.45

***

Entry 6:
The following is a SCAN calculation of a crystal of BaLaAg2 relaxed with PBEsol, from Alexandria via LeMat-Bulk.

Computed properties:
ρ: 7.104 Mg/m³
N(E_F): 3.06 states/eV/f.u.
Symmetry: No. 123
Formation enthalpy at 0 K: -0.224 eV per atom

Unit cell a=3.7592 b=5.5307 c=5.5307 alpha=90.00 beta=90.00 gamma=90.00
With the nearest neighbours (Å) after each atom.
Element x y z (fractional)
Ba1 0.5000 0.5000 0.5000  8 Ag 3.34
Ag1 0.0000 0.0000 0.5000  4 Ba 3.34, 4 La 3.34
Ag2 0.0000 0.5000 0.0000  4 Ba 3.34, 4 La 3.34
La1 0.5000 0.0000 0.0000  8 Ag 3.34

***

Entry 7:
The following is a SCAN calculation of a crystal of AlNiSN2 relaxed with PBEsol, from Alexandria via LeMat-Bulk.

Computed properties:
ρ: 3.734 Mg/m³
N(E_F): 2.24 states/eV/f.u.
Formation energy without anion corrections: 0.64 eV/atom
Symmetry: No. 123

Unit cell a=3.5745 b=3.5745 c=5.0734 alpha=90.00 beta=90.00 gamma=90.00
With the nearest neighbours (Å) after each atom.
Element x y z (fractional)
Ni1 0.5000 0.5000 0.5000  4 S 2.53
S1 0.0000 0.0000 0.5000  4 Ni 2.53, 2 Al 2.54
Al1 0.0000 0.0000 0.0000  4 N 1.79
N1 0.0000 0.5000 0.0000  2 Al 1.79
N2 0.5000 0.0000 0.0000  2 Al 1.79

***

Entry 8:
The following is a SCAN calculation of a crystal of YCBr3 relaxed with PBEsol, from Alexandria via LeMat-Bulk.

Computed properties:
ρ: 5.600 Mg/m³
N(E_F): 3.92 states/eV/f.u.
Formation energy without anion corrections: 0.42 eV/atom
Symmetry: No. 221

Unit cell a=4.6570 b=4.6570 c=4.6570 alpha=90.00 beta=90.00 gamma=90.00
With the nearest neighbours (Å) after each atom.
Element x y z (fractional)
Y1 0.5000 0.5000 0.5000  12 Br 3.29
C1 0.0000 0.0000 0.0000  6 Br 2.33
Br1 0.0000 0.5000 0.0000  2 C 2.33
Br2 0.0000 0.0000 0.5000  2 C 2.33
Br3 0.5000 0.0000 0.0000  2 C 2.33

***

Entry 9:
The following is a SCAN calculation of a crystal of Li2MoAs2 relaxed with PBEsol, from Alexandria via LeMat-Bulk.

Computed properties:
ρ: 5.616 Mg/m³
N(E_F): 1.71 states/eV/f.u.
Symmetry: No. 127
Formation enthalpy at 0 K: -0.288 eV per atom

Unit cell a=3.6003 b=6.5310 c=6.5310 alpha=90.00 beta=90.00 gamma=90.00
With the nearest neighbours (Å) after each atom.
Element x y z (fractional)
Mo1 0.0000 0.0000 0.0000  4 As 2.49
Mo2 0.0000 0.5000 0.5000  4 As 2.49
As1 0.0000 0.3508 0.8508  2 Mo 2.49, 6 Li 2.54-2.69, 1 As 2.76
As2 0.0000 0.8508 0.6492  2 Mo 2.49, 6 Li 2.54-2.69, 1 As 2.76
As3 0.0000 0.6492 0.1492  2 Mo 2.49, 6 Li 2.54-2.69, 1 As 2.76
As4 0.0000 0.1492 0.3508  2 Mo 2.49, 6 Li 2.54-2.69, 1 As 2.76
Li1 0.5000 0.1572 0.6572  6 As 2.54-2.69
Li2 0.5000 0.6572 0.8428  6 As 2.54-2.69
Li3 0.5000 0.8428 0.3428  6 As 2.54-2.69
Li4 0.5000 0.3428 0.1572  6 As 2.54-2.69

***

Entry 10:
The following is a SCAN calculation of a crystal of NaCaPb2 relaxed with PBEsol, from Alexandria via LeMat-Bulk.

Computed properties:
ρ: 7.122 Mg/m³
N(E_F): 1.75 states/eV/f.u.
Symmetry: No. 225
Formation enthalpy at 0 K: -0.517 eV per atom

Unit cell a=5.3996 b=5.3996 c=5.3996 alpha=60.00 beta=60.00 gamma=60.00
With the nearest neighbours (Å) after each atom.
Element x y z (fractional)
Pb1 0.2500 0.2500 0.2500  4 Na 3.31, 4 Ca 3.31
Pb2 0.7500 0.7500 0.7500  4 Na 3.31, 4 Ca 3.31
Na1 0.0000 0.0000 0.0000  8 Pb 3.31
Ca1 0.5000 0.5000 0.5000  8 Pb 3.31

***

Entry 11:
The following is a SCAN calculation of a crystal of TaZn2Ru relaxed with PBEsol, from Alexandria via LeMat-Bulk.

Computed properties:
ρ: 11.999 Mg/m³
N(E_F): 2.30 states/eV/f.u.
Symmetry: No. 123
Formation enthalpy at 0 K: 0.042 eV per atom

Unit cell a=3.2067 b=3.2067 c=5.5559 alpha=90.00 beta=90.00 gamma=90.00
With the nearest neighbours (Å) after each atom.
Element x y z (fractional)
Ru1 0.5000 0.5000 0.0000  8 Zn 2.60, 2 Ta 2.78
Ta1 0.5000 0.5000 0.5000  8 Zn 2.72, 2 Ru 2.78
Zn1 0.0000 0.0000 0.7715  1 Zn 2.54, 4 Ru 2.60, 4 Ta 2.72
Zn2 0.0000 0.0000 0.2285  1 Zn 2.54, 4 Ru 2.60, 4 Ta 2.72

***

Entry 12:
The following is a SCAN calculation of a crystal of Y2CrIr relaxed with PBEsol, from Alexandria via LeMat-Bulk.

Computed properties:
ρ: 7.192 Mg/m³
N(E_F): 4.25 states/eV/f.u.
Symmetry: No. 160
Formation enthalpy at 0 K: -0.312 eV per atom

Unit cell a=3.9606 b=3.9606 c=7.5289 alpha=74.75 beta=74.75 gamma=60.00
With the nearest neighbours (Å) after each atom.
Element x y z (fractional)
Cr1 0.4659 0.4659 0.6023  3 Ir 2.31
Ir1 0.7840 0.7840 0.6479  3 Cr 2.31
Y1 0.0319 0.0319 0.9044  3 Ir 2.93, 3 Cr 3.15
Y2 0.2182 0.2182 0.3455  3 Cr 2.94, 3 Ir 3.15